# 1
# HfSnMo (PBE, optimized geometry)
# * size of the total moment: 0.0 μB/f.u.
# * crystal system: trigonal
# * distance to the lowest polymorph of the same formula: 0.2343 eV/atom
# * energy of formation: 0.058 eV/atom
# * V: 58.6 Å³ per cell
data_HfSnMo
_symmetry_space_group_name_H-M 'P 3 m 1'
_symmetry_Int_Tables_number 156
_cell_length_a 4.7493
_cell_length_b 4.7493
_cell_length_c 3.0013
_cell_angle_alpha 90.00
_cell_angle_beta 90.00
_cell_angle_gamma 120.00
loop_
_symmetry_equiv_pos_as_xyz
'x,y,z'
'-y,x-y,z'
'-x+y,-x,z'
'-y,-x,z'
'-x+y,y,z'
'x,x-y,z'
loop_
_atom_site_label
_atom_site_type_symbol
_atom_site_fract_x
_atom_site_fract_y
_atom_site_fract_z
Hf1 Hf 0.0000 0.0000 0.0000
Sn1 Sn 0.6667 0.3333 0.5690
Mo1 Mo 0.3333 0.6667 0.2996

=====

# 2
# Hf6SnMo (PBE, optimized geometry)
# * size of the total moment: 0.0 μB/f.u.
# * crystal system: trigonal
# * energy of formation: -0.064 eV/atom
# * V: 515.1 Å³ per cell
data_Hf6SnMo
_symmetry_space_group_name_H-M 'R -3'
_symmetry_Int_Tables_number 148
_symmetry_space_group_name_Hall '-R 3'
_cell_length_a 8.0523
_cell_length_b 8.0523
_cell_length_c 9.1762
_cell_angle_alpha 90.00
_cell_angle_beta 90.00
_cell_angle_gamma 120.00
loop_
_atom_site_label
_atom_site_type_symbol
_atom_site_fract_x
_atom_site_fract_y
_atom_site_fract_z
Hf1 Hf 0.0170 0.2388 0.2262
Sn1 Sn 0.0000 0.0000 0.5000
Mo1 Mo 0.0000 0.0000 0.0000

=====

# 3
# HfSn3Mo (PBE, optimized geometry)
# * size of the total moment: 0.0 μB/f.u.
# * crystal system: cubic
# * distance to the lowest polymorph of the same formula: 0.0000 eV/atom
# * energy of formation: 0.801 eV/atom
# * V: 139.5 Å³ per cell
data_HfSn3Mo
_symmetry_space_group_name_H-M 'P m -3 m'
_symmetry_Int_Tables_number 221
_symmetry_space_group_name_Hall '-P 4 2 3'
_cell_length_a 5.1862
_cell_length_b 5.1862
_cell_length_c 5.1862
_cell_angle_alpha 90.00
_cell_angle_beta 90.00
_cell_angle_gamma 90.00
loop_
_atom_site_label
_atom_site_type_symbol
_atom_site_fract_x
_atom_site_fract_y
_atom_site_fract_z
Hf1 Hf 0.0000 0.0000 0.0000
Sn1 Sn 0.0000 0.5000 0.5000
Mo1 Mo 0.5000 0.5000 0.5000

=====

# 4
# HfSnMo (PBE, optimized geometry)
# * size of the total moment: 0.0 μB/f.u.
# * crystal system: tetragonal
# * distance to the lowest polymorph of the same formula: 0.0242 eV/atom
# * energy of formation: -0.152 eV/atom
# * V: 247.9 Å³ per cell
data_HfSnMo
_symmetry_space_group_name_H-M 'I 4/m m m'
_symmetry_Int_Tables_number 139
_symmetry_space_group_name_Hall '-I 4 2'
_cell_length_a 4.1883
_cell_length_b 4.1883
_cell_length_c 14.1341
_cell_angle_alpha 90.00
_cell_angle_beta 90.00
_cell_angle_gamma 90.00
loop_
_atom_site_label
_atom_site_type_symbol
_atom_site_fract_x
_atom_site_fract_y
_atom_site_fract_z
Hf1 Hf 0.0000 0.0000 0.1451
Sn1 Sn 0.0000 0.0000 0.3582
Mo1 Mo 0.0000 0.5000 0.0000

=====

# 5
# Hf4SnMo (PBE, optimized geometry)
# * size of the total moment: 0.0 μB/f.u.
# * crystal system: monoclinic
# * energy of formation: -0.081 eV/atom
# * V: 527.3 Å³ per cell
data_Hf4SnMo
_symmetry_space_group_name_H-M 'C 1 2/c 1'
_symmetry_Int_Tables_number 15
_cell_length_a 8.1466
_cell_length_b 12.3897
_cell_length_c 5.5501
_cell_angle_alpha 90.00
_cell_angle_beta 109.73
_cell_angle_gamma 90.00
loop_
_symmetry_equiv_pos_as_xyz
'x,y,z'
'-x,-y,-z'
'-x,y,-z+1/2'
'x,-y,z+1/2'
'x+1/2,y+1/2,z'
'-x+1/2,-y+1/2,-z'
'-x+1/2,y+1/2,-z+1/2'
'x+1/2,-y+1/2,z+1/2'
loop_
_atom_site_label
_atom_site_type_symbol
_atom_site_fract_x
_atom_site_fract_y
_atom_site_fract_z
Hf1 Hf 0.1122 0.1834 0.0657
Hf2 Hf 0.2124 0.4132 0.3526
Sn1 Sn 0.0000 0.3827 0.7500
Mo1 Mo 0.0000 0.0005 0.2500

=====

# 6
# HfSnMo (PBE, optimized geometry)
# * size of the total moment: 0.0 μB/f.u.
# * crystal system: tetragonal
# * distance to the lowest polymorph of the same formula: 0.0000 eV/atom
# * energy of formation: -0.176 eV/atom
# * V: 116.6 Å³ per cell
data_HfSnMo
_symmetry_space_group_name_H-M 'I 4 m m'
_symmetry_Int_Tables_number 107
_symmetry_space_group_name_Hall 'I 4 -2'
_cell_length_a 3.5544
_cell_length_b 3.5544
_cell_length_c 9.2264
_cell_angle_alpha 90.00
_cell_angle_beta 90.00
_cell_angle_gamma 90.00
loop_
_atom_site_label
_atom_site_type_symbol
_atom_site_fract_x
_atom_site_fract_y
_atom_site_fract_z
Hf1 Hf 0.0000 0.0000 0.0000
Sn1 Sn 0.0000 0.0000 0.6824
Mo1 Mo 0.0000 0.0000 0.3461

=====

# 7
# HfSn2Mo (PBE, optimized geometry)
# * size of the total moment: 0.0 μB/f.u.
# * crystal system: cubic
# * distance to the lowest polymorph of the same formula: 0.0000 eV/atom
# * energy of formation: 0.096 eV/atom
# * V: 319.3 Å³ per cell
data_HfSn2Mo
_symmetry_space_group_name_H-M 'F m -3 m'
_symmetry_Int_Tables_number 225
_symmetry_space_group_name_Hall '-F 4 2 3'
_cell_length_a 6.8350
_cell_length_b 6.8350
_cell_length_c 6.8350
_cell_angle_alpha 90.00
_cell_angle_beta 90.00
_cell_angle_gamma 90.00
loop_
_atom_site_label
_atom_site_type_symbol
_atom_site_fract_x
_atom_site_fract_y
_atom_site_fract_z
Hf1 Hf 0.0000 0.0000 0.0000
Sn1 Sn 0.2500 0.2500 0.2500
Mo1 Mo 0.0000 0.0000 0.5000

=====

# 8
# HfSn2Mo (PBE, optimized geometry)
# * size of the total moment: 0.0 μB/f.u.
# * crystal system: trigonal
# * distance to the lowest polymorph of the same formula: 0.0530 eV/atom
# * energy of formation: 0.149 eV/atom
# * V: 248.8 Å³ per cell
data_HfSn2Mo
_symmetry_space_group_name_H-M 'R -3 m'
_symmetry_Int_Tables_number 166
_symmetry_space_group_name_Hall '-R 3 2"'
_cell_length_a 3.2108
_cell_length_b 3.2108
_cell_length_c 27.8633
_cell_angle_alpha 90.00
_cell_angle_beta 90.00
_cell_angle_gamma 120.00
loop_
_atom_site_label
_atom_site_type_symbol
_atom_site_fract_x
_atom_site_fract_y
_atom_site_fract_z
Hf1 Hf 0.0000 0.0000 0.0000
Sn1 Sn 0.0000 0.0000 0.2438
Mo1 Mo 0.0000 0.0000 0.5000